The following is a DFT calculation (GGA-PBEsol) of CaMg2Hg after structural relaxation.

Lattice parameters (Å, degrees): 3.491 4.940 5.941 90.00 102.15 90.00
Space group P2/m (No. 10)
One atom of each set of equivalent atoms:
Ca 0.000 0.000 0.000 x1
Mg 0.361 0.500 0.726 x2
Hg 0.500 0.000 0.500 x1

Output
Its density of states at the Fermi level is 2.11 states/eV/f.u. For the total energy, the calculation gives -1.75 eV per atom. The formation energy is -0.22 eV/atom.